1.
Material: La3SeS3
Method: DFT, PBE
State: optimized geometry

It has space group R3m (No. 160, hexagonal axes), with a = 9.5112 Å, b = 9.5112 Å, c = 7.3877 Å, α = 90.00°, β = 90.00° and γ = 120.00°. The distinct sites, in fractional coordinates, are La at (0.0181, 0.5091, 0.0000), Se at (0.0000, 0.0000, 0.5433) and S at (0.0350, 0.5175, 0.6020).

The distance to the lowest polymorph of the same formula is 258 meV/atom. Its total moment is 0.0 μB/f.u. The value obtained for the density of states at the Fermi level is 12.59 states/eV per cell.

2.
Material: Dy2ZnCr
Method: DFT, PBE
State: optimized geometry

It has space group P4/mmm (No. 123), with a = 5.033 Å, b = 5.033 Å, c = 3.585 Å, α = 90.00°, β = 90.00° and γ = 90.00°. The distinct sites, in fractional coordinates, are Dy at (0.000, 0.500, 0.000), Zn at (0.000, 0.000, 0.500) and Cr at (0.500, 0.500, 0.500).

The distance to the lowest polymorph of the same formula is 6 meV/atom. Its total moment is 3.8 μB/f.u. The value obtained for the density of states at the Fermi level is 2.72 states/eV per cell. Its formation enthalpy at 0 K is 0.013 eV per atom.

3.
Material: Na4Th3ZnTe8
Method: DFT, PBE
State: optimized geometry

It has space group R-3m (No. 166, hexagonal axes), with a = 9.0385 Å, b = 9.0385 Å, c = 22.2543 Å, α = 90.00°, β = 90.00° and γ = 120.00°. The distinct sites, in fractional coordinates, are Na at (0.0000, 0.0000, 0.0000), Na at (0.0000, 0.5000, 0.0000), Th at (0.0000, 0.5000, 0.5000), Zn at (0.0000, 0.0000, 0.5000), Te at (0.0000, 0.0000, 0.2489) and Te at (0.0089, 0.5044, 0.2428).

Its total moment is 0.0 μB/f.u. The value obtained for the density of states at the Fermi level is 23.43 states/eV per cell. The total energy is -4.352 eV per atom.

4.
Material: KRb2W
Method: DFT, PBE
State: optimized geometry

It has space group Fm-3m (No. 225), with a = 9.367 Å, b = 9.367 Å, c = 9.367 Å, α = 90.00°, β = 90.00° and γ = 90.00°. The distinct sites, in fractional coordinates, are K at (0.000, 0.000, 0.000), Rb at (0.250, 0.250, 0.250) and W at (0.000, 0.000, 0.500).

The distance to the lowest polymorph of the same formula is 0 meV/atom. Its total moment is 5.1 μB/f.u. The value obtained for the density of states at the Fermi level is 9.14 states/eV per cell. Its formation enthalpy at 0 K is 1.524 eV per atom.

5.
Material: PaSi2Pd
Method: DFT, PBE
State: optimized geometry

It has space group P4/mmm (No. 123), with a = 4.237 Å, b = 4.237 Å, c = 4.031 Å, α = 90.00°, β = 90.00° and γ = 90.00°. The distinct sites, in fractional coordinates, are Pa at (0.000, 0.000, 0.000), Si at (0.000, 0.500, 0.500) and Pd at (0.500, 0.500, 0.000).

Its total moment is 0.0 μB/f.u. The value obtained for the density of states at the Fermi level is 3.51 states/eV per cell. The total energy is -6.810 eV per atom.

6.
Material: Pr3YTh2Se6
Method: DFT, PBE
State: optimized geometry

It has space group C2/m (No. 12), with a = 7.307 Å, b = 12.630 Å, c = 7.310 Å, α = 90.00°, β = 109.50° and γ = 90.00°. The distinct sites, in fractional coordinates, are Pr at (0.000, 0.000, 0.000), Pr at (0.000, 0.331, 0.000), Y at (0.000, 0.500, 0.500), Th at (0.000, 0.167, 0.500), Se at (0.244, 0.337, 0.742) and Se at (0.245, 0.500, 0.256).

Its total moment is 0.0 μB/f.u. The value obtained for the density of states at the Fermi level is 14.75 states/eV per cell. The total energy is -6.430 eV per atom.

7.
Material: CdB2OsO8
Method: DFT, PBE
State: optimized geometry

It has space group P-3m1 (No. 164), with a = 4.9396 Å, b = 4.9396 Å, c = 6.5463 Å, α = 90.00°, β = 90.00° and γ = 120.00°. The distinct sites, in fractional coordinates, are Cd at (0.0000, 0.0000, 0.0000), B at (0.3333, 0.6667, 0.2450), Os at (0.0000, 0.0000, 0.5000), O at (0.1727, 0.3454, 0.3236) and O at (0.3333, 0.6667, 0.0266).

Its total moment is 1.0 μB/f.u. The value obtained for the density of states at the Fermi level is 5.32 states/eV per cell. The total energy is -6.643 eV per atom.

Which formula does entry 6 have?
Pr3YTh2Se6